First-principles (PBE) data for BaAl12Cu7 after structural relaxation, as listed in Alexandria via LeMat-Bulk.

Calculated values
Fermi-level density of states   6.2 states/eV per cell
Symmetry   R-3m, No. 166
Energy of formation from the pure elements   -0.1036 eV per atom
Electronic total energy   -3.88 eV per atom

Unit cell a=7.7091 b=7.7091 c=7.7091 alpha=111.15 beta=111.15 gamma=111.15
Atoms (fractional coordinates):
Ba 0.0000 0.0000 0.0000
Al 0.0000 0.2627 0.7373
Al 0.0000 0.7373 0.2627
Al 0.1552 0.4799 0.4799
Al 0.2627 0.0000 0.7373
Al 0.2627 0.7373 0.0000
Al 0.4799 0.1552 0.4799
Al 0.4799 0.4799 0.1552
Al 0.5201 0.5201 0.8448
Al 0.5201 0.8448 0.5201
Al 0.7373 0.0000 0.2627
Al 0.7373 0.2627 0.0000
Al 0.8448 0.5201 0.5201
Cu 0.1515 0.1515 0.5030
Cu 0.1515 0.5030 0.1515
Cu 0.4970 0.8485 0.8485
Cu 0.5000 0.5000 0.5000
Cu 0.5030 0.1515 0.1515
Cu 0.8485 0.4970 0.8485
Cu 0.8485 0.8485 0.4970

***

First-principles (PBE) data for BaAl4Cu2 after structural relaxation, as listed in Alexandria via LeMat-Bulk.

Calculated values
Fermi-level density of states   3.6 states/eV per cell
Symmetry   C2/m, No. 12
Energy of formation from the pure elements   0.0385 eV per atom
Electronic total energy   -3.55 eV per atom
Distance to the lowest polymorph of the same formula   192 meV/atom

Unit cell a=5.6985 b=5.6985 c=5.1658 alpha=116.86 beta=116.86 gamma=82.54
Atoms (fractional coordinates):
Ba 0.0000 0.0000 0.0000
Al 0.0084 0.3915 0.6999
Al 0.3915 0.0084 0.6999
Al 0.6085 0.9916 0.3001
Al 0.9916 0.6085 0.3001
Cu 0.4990 0.4990 0.7515
Cu 0.5010 0.5010 0.2485

***

First-principles (PBE) data for BaAlCu after structural relaxation, as listed in Alexandria via LeMat-Bulk.

Calculated values
Fermi-level density of states   3.6 states/eV per cell
Symmetry   F-43m, No. 216
Energy of formation from the pure elements   0.7335 eV per atom
Electronic total energy   -2.52 eV per atom

Unit cell a=5.2719 b=5.2719 c=5.2719 alpha=60.00 beta=60.00 gamma=60.00
Atoms (fractional coordinates):
Ba 0.0000 0.0000 0.0000
Al 0.2500 0.2500 0.2500
Cu 0.7500 0.7500 0.7500

***

First-principles (PBE) data for BaAlCu2 after structural relaxation, as listed in Alexandria via LeMat-Bulk.

Calculated values
Fermi-level density of states   8.1 states/eV per cell
Symmetry   I4_1/amd, No. 141
Energy of formation from the pure elements   0.0090 eV per atom
Electronic total energy   -3.46 eV per atom

Unit cell a=9.0813 b=9.0813 c=9.0813 alpha=147.88 beta=147.88 gamma=46.06
Atoms (fractional coordinates):
Ba 0.3750 0.6250 0.7500
Ba 0.6250 0.3750 0.2500
Al 0.1250 0.8750 0.2500
Al 0.8750 0.1250 0.7500
Cu 0.0000 0.0000 0.0000
Cu 0.0000 0.0000 0.5000
Cu 0.0000 0.5000 0.0000
Cu 0.5000 0.0000 0.5000

***

First-principles (PBE) data for BaAlCu after structural relaxation, as listed in Alexandria via LeMat-Bulk.

Calculated values
Fermi-level density of states   4.4 states/eV per cell
Symmetry   P2_13, No. 198
Energy of formation from the pure elements   -0.1726 eV per atom
Electronic total energy   -3.43 eV per atom

Unit cell a=6.8762 b=6.8762 c=6.8762 alpha=90.00 beta=90.00 gamma=90.00
Atoms (fractional coordinates):
Ba 0.1465 0.1465 0.1465
Ba 0.3535 0.8535 0.6465
Ba 0.6465 0.3535 0.8535
Ba 0.8535 0.6465 0.3535
Al 0.1527 0.3473 0.6527
Al 0.3473 0.6527 0.1527
Al 0.6527 0.1527 0.3473
Al 0.8473 0.8473 0.8473
Cu 0.0888 0.5888 0.9112
Cu 0.4112 0.4112 0.4112
Cu 0.5888 0.9112 0.0888
Cu 0.9112 0.0888 0.5888

***

First-principles (PBE) data for BaAlCu2 after structural relaxation, as listed in Alexandria via LeMat-Bulk.

Calculated values
Fermi-level density of states   2.3 states/eV per cell
Symmetry   Cm, No. 8
Energy of formation from the pure elements   -0.1474 eV per atom
Electronic total energy   -3.61 eV per atom

Unit cell a=4.3369 b=4.3369 c=6.1120 alpha=103.19 beta=103.19 gamma=59.68
Atoms (fractional coordinates):
Ba 0.0000 0.0000 0.0000
Al 0.7774 0.7774 0.4431
Cu 0.1394 0.1394 0.5446
Cu 0.4582 0.4582 0.4930

***

First-principles (PBE) data for BaAl2Cu after structural relaxation, as listed in Alexandria via LeMat-Bulk.

Calculated values
Fermi-level density of states   16.0 states/eV per cell
Symmetry   Pnma, No. 62
Energy of formation from the pure elements   -0.1758 eV per atom
Electronic total energy   -3.55 eV per atom

Unit cell a=16.1323 b=7.1537 c=6.5544 alpha=90.00 beta=90.00 gamma=90.00
Atoms (fractional coordinates):
Ba 0.1022 0.2500 0.1751
Ba 0.1293 0.7500 0.0044
Ba 0.3707 0.2500 0.5044
Ba 0.3978 0.7500 0.6751
Ba 0.6022 0.2500 0.3249
Ba 0.6293 0.7500 0.4956
Ba 0.8707 0.2500 0.9956
Ba 0.8978 0.7500 0.8249
Al 0.0513 0.0648 0.6576
Al 0.0513 0.4352 0.6576
Al 0.2056 0.5624 0.5073
Al 0.2056 0.9376 0.5073
Al 0.2944 0.0624 0.0073
Al 0.2944 0.4376 0.0073
Al 0.4487 0.5648 0.1576
Al 0.4487 0.9352 0.1576
Al 0.5513 0.0648 0.8424
Al 0.5513 0.4352 0.8424
Al 0.7056 0.5624 0.9927
Al 0.7056 0.9376 0.9927
Al 0.7944 0.0624 0.4927
Al 0.7944 0.4376 0.4927
Al 0.9487 0.5648 0.3424
Al 0.9487 0.9352 0.3424
Cu 0.0695 0.7500 0.4963
Cu 0.1892 0.2500 0.7142
Cu 0.3108 0.7500 0.2142
Cu 0.4305 0.2500 0.9963
Cu 0.5695 0.7500 0.0037
Cu 0.6892 0.2500 0.7858
Cu 0.8108 0.7500 0.2858
Cu 0.9305 0.2500 0.5037

***

First-principles (PBE) data for BaAlCu after structural relaxation, as listed in Alexandria via LeMat-Bulk.

Calculated values
Fermi-level density of states   3.7 states/eV per cell
Symmetry   F-43m, No. 216
Energy of formation from the pure elements   0.4405 eV per atom
Electronic total energy   -2.81 eV per atom

Unit cell a=5.0671 b=5.0671 c=5.0671 alpha=60.00 beta=60.00 gamma=60.00
Atoms (fractional coordinates):
Ba 0.0000 0.0000 0.0000
Al 0.7500 0.7500 0.7500
Cu 0.5000 0.5000 0.5000

***

First-principles (PBE) data for BaAlCu2 after structural relaxation, as listed in Alexandria via LeMat-Bulk.

Calculated values
Fermi-level density of states   1.5 states/eV per cell
Symmetry   Pm, No. 6
Energy of formation from the pure elements   0.0268 eV per atom
Electronic total energy   -3.44 eV per atom

Unit cell a=4.1819 b=4.3119 c=5.6915 alpha=90.00 beta=103.14 gamma=90.00
Atoms (fractional coordinates):
Ba 0.0000 0.0000 0.0000
Al 0.2633 0.5000 0.5660
Cu 0.5322 0.0000 0.4895
Cu 0.6901 0.5000 0.3445

***

First-principles (PBE) data for BaAl9Cu2 after structural relaxation, as listed in Alexandria via LeMat-Bulk.

Calculated values
Fermi-level density of states   9.5 states/eV per cell
Symmetry   I4_1/amd, No. 141
Energy of formation from the pure elements   -0.1472 eV per atom
Electronic total energy   -3.80 eV per atom

Unit cell a=8.5213 b=8.5213 c=8.5213 alpha=100.60 beta=100.60 gamma=129.21
Atoms (fractional coordinates):
Ba 0.3750 0.6250 0.7500
Ba 0.6250 0.3750 0.2500
Al 0.1250 0.8750 0.2500
Al 0.1398 0.5641 0.3265
Al 0.1398 0.8133 0.5758
Al 0.1867 0.2625 0.3265
Al 0.1867 0.8602 0.9242
Al 0.2625 0.1867 0.8265
Al 0.2625 0.4359 0.0758
Al 0.4359 0.2625 0.5758
Al 0.4359 0.8602 0.1735
Al 0.5641 0.1398 0.8265
Al 0.5641 0.7375 0.4242
Al 0.7375 0.5641 0.9242
Al 0.7375 0.8133 0.1735
Al 0.8133 0.1398 0.0758
Al 0.8133 0.7375 0.6735
Al 0.8602 0.1867 0.4242
Al 0.8602 0.4359 0.6735
Al 0.8750 0.1250 0.7500
Cu 0.0000 0.0000 0.0000
Cu 0.0000 0.0000 0.5000
Cu 0.0000 0.5000 0.0000
Cu 0.5000 0.0000 0.5000